[1]
PBE CrHgPt, optimized geometry; energy of formation from the pure elements = 0.256 eV per atom; SG = P3m1, No. 156
1.0
3.030 0.000 0.000
-1.515 2.624 0.000
0.000 0.000 6.591
Cr Hg Pt
1 1 1
Direct
0.000 0.000 0.980
0.333 0.667 0.326
0.667 0.333 0.694

***

[2]
PBE Li3Zn2Cu2, optimized geometry; energy of formation from the pure elements = -0.140 eV per atom; SG = C2/m, No. 12
1.0
4.256 0.000 0.000
2.128 3.640 0.084
2.128 0.939 6.114
Li Zn Cu
3 2 2
Direct
0.500 0.000 0.000
0.356 0.855 0.433
0.644 0.145 0.567
0.076 0.573 0.275
0.924 0.427 0.725
0.211 0.716 0.863
0.789 0.284 0.137

***

[3]
PBE CdNiPt4, optimized geometry; energy of formation from the pure elements = -0.142 eV per atom; SG = P4/mmm, No. 123
1.0
-0.201 -1.526 -2.358
2.797 0.108 -0.308
1.071 -9.847 6.281
Cd Ni Pt
1 1 4
Direct
0.000 0.000 0.000
0.500 0.500 0.500
0.500 0.500 0.181
0.000 0.000 0.646
0.000 0.000 0.354
0.500 0.500 0.819

***

[4]
PBE ZrNi2AgSb, optimized geometry; SG = P4/mmm, No. 123
1.0
-3.906 -2.280 0.855
0.587 -2.593 -4.235
2.374 -3.208 2.293
Sb Zr Ag Ni
1 1 1 2
Direct
0.000 0.000 0.000
0.500 0.500 0.500
0.000 0.500 0.000
0.000 0.000 0.500
0.500 0.000 0.000

***

[5]
PBE Dy3Zn4Ge2, optimized geometry; energy of formation from the pure elements = -0.577 eV per atom; SG = C2/m, No. 12
1.0
-3.954 0.120 1.625
1.566 -5.363 -1.421
3.175 1.689 7.599
Dy Zn Ge
3 4 2
Direct
0.677 0.353 0.653
0.000 0.000 0.000
0.323 0.647 0.347
0.748 0.495 0.076
0.252 0.505 0.924
0.982 0.965 0.641
0.018 0.035 0.359
0.611 0.222 0.275
0.389 0.778 0.725

***

[6]
PBE VReS2, optimized geometry; SG = I-42d, No. 122
1.0
4.553 0.000 0.000
0.000 4.553 0.000
2.276 2.276 6.490
Re S V
2 4 2
Direct
0.000 0.000 0.000
0.750 0.250 0.500
0.623 0.125 0.250
0.127 0.625 0.250
0.375 0.377 0.750
0.875 0.873 0.750
0.500 0.500 0.000
0.250 0.750 0.500

***

| no. | calculated total energy (eV/atom) | magnetization (μB per cell) | volume (Å³/atom) |
| --- | --- | --- | --- |
| 1 | -5.0656 | 3.16 | 17.465 |
| 2 | -2.4943 | 0.00 | 13.481 |
| 3 | -5.2850 | 1.49 | 15.505 |
| 4 | -4.7305 | 0.97 | 21.187 |
| 5 | -3.7035 | 0.00 | 20.185 |
| 6 | -7.5997 | 1.81 | 16.816 |